KBaAg2: optimized geometry, PBE. Values from VASP.

Results
symmetry = P4mm, No. 99
calculated total energy = -2.163 eV per atom
D(E_F) = 2.55 states/eV per cell

```
&SYSTEM
  ibrav = 0, nat = 4, ntyp = 3
/
ATOMIC_SPECIES
Ag 107.87 Ag.upf
Ba 137.33 Ba.upf
K 39.10 K.upf
CELL_PARAMETERS angstrom
4.870 0.000 0.000
0.000 4.870 0.000
0.000 0.000 6.890
ATOMIC_POSITIONS crystal
Ag 0.000 0.000 0.874
Ag 0.500 0.500 0.376
Ba 0.000 0.000 0.374
K 0.500 0.500 0.876
```


KBa2Ag2: optimized geometry, PBE. Values from VASP.

Results
symmetry = P4/mbm, No. 127
calculated total energy = -2.189 eV per atom
D(E_F) = 8.46 states/eV per cell

```
&SYSTEM
  ibrav = 0, nat = 10, ntyp = 3
/
ATOMIC_SPECIES
K 39.10 K.upf
Ba 137.33 Ba.upf
Ag 107.87 Ag.upf
CELL_PARAMETERS angstrom
9.884 0.000 0.000
0.000 9.884 0.000
0.000 0.000 4.029
ATOMIC_POSITIONS crystal
K 0.000 0.000 0.000
K 0.500 0.500 0.000
Ba 0.359 0.859 0.000
Ba 0.859 0.641 0.000
Ba 0.641 0.141 0.000
Ba 0.141 0.359 0.000
Ag 0.151 0.651 0.500
Ag 0.651 0.849 0.500
Ag 0.849 0.349 0.500
Ag 0.349 0.151 0.500
```


Q: Look up the calculated total energy of the first one.
A: -2.163 eV per atom